1.
! LiCrCl2 | Alexandria | PBE | optimized geometry; values from VASP
&SYSTEM
  ibrav = 0, nat = 16, ntyp = 3
/
ATOMIC_SPECIES
Cl 35.45 Cl.upf
Cr 52.00 Cr.upf
Li 6.94 Li.upf
CELL_PARAMETERS angstrom
6.792 0.000 0.069
0.000 7.133 0.000
-1.862 0.000 6.779
ATOMIC_POSITIONS crystal
Cl 0.381 0.500 0.432
Cr 0.725 0.500 0.629
Cl 0.381 0.000 0.932
Cl 0.375 0.000 0.423
Cr 0.722 0.000 0.403
Li 0.302 0.252 0.658
Cl 0.936 0.752 0.570
Cl 0.936 0.252 0.070
Li 0.302 0.752 0.158
Cl 0.936 0.248 0.570
Li 0.302 0.248 0.158
Cr 0.725 0.000 0.129
Cl 0.375 0.500 0.923
Cl 0.936 0.748 0.070
Li 0.302 0.748 0.658
Cr 0.722 0.500 0.903
! energy above the lowest structure with this stoichiometry: 0.057 eV/atom
! energy relative to the elements, uncorrected: -3.9 eV/f.u.

2.
! PmDy2Y6Ho3 | Alexandria | PBE | optimized geometry; values from VASP
&SYSTEM
  ibrav = 0, nat = 12, ntyp = 4
/
ATOMIC_SPECIES
Ho 164.93 Ho.upf
Y 88.91 Y.upf
Dy 162.50 Dy.upf
Pm 145.00 Pm.upf
CELL_PARAMETERS angstrom
-4.507 0.875 4.116
3.964 -4.667 0.722
7.179 8.160 4.593
ATOMIC_POSITIONS crystal
Ho 0.500 0.500 0.500
Ho 0.833 0.167 0.500
Y 0.750 0.750 0.251
Y 0.582 0.916 0.749
Dy 0.667 0.333 0.000
Pm 0.000 0.000 0.000
Dy 0.333 0.667 0.000
Y 0.916 0.582 0.749
Y 0.084 0.418 0.251
Y 0.250 0.250 0.749
Y 0.418 0.084 0.251
Ho 0.167 0.833 0.500
! energy relative to the elements: 0.02 eV per atom

3.
! VCd2Br6 | Alexandria | PBE | optimized geometry; values from VASP
&SYSTEM
  ibrav = 0, nat = 9, ntyp = 3
/
ATOMIC_SPECIES
Cd 112.41 Cd.upf
V 50.94 V.upf
Br 79.90 Br.upf
CELL_PARAMETERS angstrom
3.867 0.000 -0.886
-0.462 8.024 -2.017
0.050 -0.094 9.100
ATOMIC_POSITIONS crystal
Cd 0.835 0.666 0.669
V 0.500 0.000 0.000
Br 0.000 0.215 0.001
Br 0.346 0.913 0.693
Br 0.654 0.087 0.307
Br 0.331 0.424 0.661
Cd 0.165 0.334 0.331
Br 0.000 0.785 0.999
Br 0.669 0.576 0.339
! energy relative to the elements, uncorrected: -7.6 eV/f.u.

4.
! TiSi3N | Alexandria | PBE | optimized geometry; values from VASP
&SYSTEM
  ibrav = 0, nat = 5, ntyp = 3
/
ATOMIC_SPECIES
Si 28.09 Si.upf
Ti 47.87 Ti.upf
N 14.01 N.upf
CELL_PARAMETERS angstrom
3.997 0.000 0.000
0.000 3.997 0.000
0.000 0.000 3.997
ATOMIC_POSITIONS crystal
Si 0.000 0.000 0.500
Ti 0.500 0.500 0.500
Si 0.500 0.000 0.000
Si 0.000 0.500 0.000
N 0.000 0.000 0.000
! energy above the lowest structure with this stoichiometry: 0.000 eV/atom
! energy relative to the elements, uncorrected: 1.4 eV/f.u.

5.
! BaZn2PAu | Alexandria | PBE | optimized geometry; values from VASP
&SYSTEM
  ibrav = 0, nat = 5, ntyp = 4
/
ATOMIC_SPECIES
Zn 65.41 Zn.upf
P 30.97 P.upf
Ba 137.33 Ba.upf
Au 196.97 Au.upf
CELL_PARAMETERS angstrom
6.501 0.000 0.000
0.000 5.451 0.000
0.000 0.000 6.501
ATOMIC_POSITIONS crystal
Zn 0.500 0.000 0.000
P 0.000 0.500 0.000
Ba 0.000 0.000 0.000
Au 0.500 0.500 0.500
Zn 0.000 0.000 0.500
! energy relative to the elements: 1.05 eV per atom

6.
! Ho2PuTc2 | Alexandria | PBE | optimized geometry; values from VASP
&SYSTEM
  ibrav = 0, nat = 10, ntyp = 3
/
ATOMIC_SPECIES
Tc 98.00 Tc.upf
Pu 244.00 Pu.upf
Ho 164.93 Ho.upf
CELL_PARAMETERS angstrom
-4.410 -3.322 1.511
0.457 -5.671 -0.637
2.315 -1.887 7.307
ATOMIC_POSITIONS crystal
Tc 0.257 0.995 0.490
Tc 0.005 0.743 0.010
Tc 0.743 0.005 0.510
Pu 0.141 0.859 0.250
Ho 0.217 0.477 0.653
Pu 0.859 0.141 0.750
Ho 0.523 0.783 0.847
Ho 0.477 0.217 0.153
Ho 0.783 0.523 0.347
Tc 0.995 0.257 0.990
! energy relative to the elements: -0.14 eV per atom